First-principles (PBE) data for CsBiAu after structural relaxation, as listed in the Open Quantum Materials Database.

Values from the calculation:
- E_tot (eV per cell) = -28.817
- space-group type = F-43m, No. 216

abc: 7.8798 7.8798 7.8798
angles: 90.00 90.00 90.00
Atoms (fractional coordinates):
Cs 0.0000 0.0000 0.0000
Cs 0.0000 0.5000 0.5000
Cs 0.5000 0.0000 0.5000
Cs 0.5000 0.5000 0.0000
Bi 0.2500 0.2500 0.7500
Bi 0.2500 0.7500 0.2500
Bi 0.7500 0.2500 0.2500
Bi 0.7500 0.7500 0.7500
Au 0.0000 0.0000 0.5000
Au 0.0000 0.5000 0.0000
Au 0.5000 0.0000 0.0000
Au 0.5000 0.5000 0.5000